[1]
## LiRe2SnI (PBE)

Data for LiRe2SnI after structural relaxation.

The raw total energy comes out at -4.265 eV per atom. As for the density: 7367 kg/m3. The uncorrected formation energy is 2.21 eV per atom. The crystal system is tetragonal. For the density of states at the Fermi level, the calculation gives 3.4 states/eV/cell.

The structure belongs to space group P4/mmm (No. 123); the cell edges are 4.906, 4.906 and 5.852 Å and the angles 90.00°, 90.00° and 90.00°. The inequivalent atoms are Li at (0.000, 0.000, 0.000), Re at (0.000, 0.500, 0.500), Sn at (0.500, 0.500, 0.000) and I at (0.500, 0.500, 0.500).

---

[2]
## LiReTe2I (PBE)

Data for LiReTe2I after structural relaxation.

The raw total energy comes out at -4.094 eV per atom. As for the density: 5874 kg/m3. The uncorrected formation energy is 0.35 eV per atom. The crystal system is tetragonal. For the density of states at the Fermi level, the calculation gives 4.0 states/eV/cell.

The structure belongs to space group P4/mmm (No. 123); the cell edges are 5.170, 5.170 and 6.084 Å and the angles 90.00°, 90.00° and 90.00°. The inequivalent atoms are Li at (0.000, 0.000, 0.000), Re at (0.500, 0.500, 0.500), Te at (0.000, 0.500, 0.500) and I at (0.500, 0.500, 0.000).

---

[3]
## LiReTe2I (PBE)

Data for LiReTe2I after structural relaxation.

The raw total energy comes out at -3.062 eV per atom. As for the density: 5042 kg/m3. The uncorrected formation energy is 1.38 eV per atom. The crystal system is tetragonal. For the density of states at the Fermi level, the calculation gives 3.5 states/eV/cell.

The structure belongs to space group P4/mmm (No. 123); the cell edges are 6.105, 6.105 and 5.083 Å and the angles 90.00°, 90.00° and 90.00°. The inequivalent atoms are Li at (0.000, 0.000, 0.000), Re at (0.500, 0.500, 0.000), Te at (0.000, 0.500, 0.500) and I at (0.500, 0.500, 0.500).

---

[4]
## LiReTe2I (PBE)

Data for LiReTe2I after structural relaxation.

The raw total energy comes out at -3.139 eV per atom. As for the density: 8059 kg/m3. The uncorrected formation energy is 1.30 eV per atom. The crystal system is tetragonal. For the density of states at the Fermi level, the calculation gives 8.1 states/eV/cell.

The structure belongs to space group P4/mmm (No. 123); the cell edges are 4.851, 4.851 and 5.037 Å and the angles 90.00°, 90.00° and 90.00°. The inequivalent atoms are Li at (0.000, 0.000, 0.000), Re at (0.500, 0.500, 0.500), Te at (0.000, 0.500, 0.000) and I at (0.000, 0.000, 0.500).